Entry 1:
The following is a GGA-PBE calculation of an optimized crystal structure of ZnInSnSe4, from Alexandria via LeMat-Bulk.

Lattice parameters (Å, degrees): 8.073 8.073 8.073 121.27 119.75 89.12
Fractional coordinates of all 14 atoms:
Zn (0.377, 0.127, 0.250)
Zn (0.623, 0.873, 0.750)
In (0.000, 0.500, 0.500)
In (0.500, 0.500, 0.000)
Sn (0.000, 0.000, 0.500)
Sn (0.000, 0.500, 0.000)
Se (0.245, 0.744, 0.501)
Se (0.248, 0.256, 0.508)
Se (0.248, 0.739, 0.992)
Se (0.258, 0.256, 0.001)
Se (0.742, 0.744, 0.999)
Se (0.752, 0.261, 0.008)
Se (0.752, 0.744, 0.492)
Se (0.755, 0.256, 0.499)

Results
Total moment (μB per cell): 0.00
Formation energy (no corrections) (eV per atom): -0.4540
SG: Imma, No. 74



Entry 2:
The following is a GGA-PBE calculation of an optimized crystal structure of La5Ru3, from Alexandria via LeMat-Bulk.

Lattice parameters (Å, degrees): 8.592 8.592 8.592 97.99 97.99 136.23
Fractional coordinates of all 16 atoms:
La (0.087, 0.792, 0.879)
La (0.208, 0.087, 0.296)
La (0.250, 0.750, 0.500)
La (0.292, 0.587, 0.879)
La (0.413, 0.292, 0.704)
La (0.587, 0.708, 0.296)
La (0.708, 0.413, 0.121)
La (0.750, 0.250, 0.500)
La (0.792, 0.913, 0.704)
La (0.913, 0.208, 0.121)
Ru (0.152, 0.348, 0.500)
Ru (0.250, 0.250, 0.000)
Ru (0.348, 0.848, 0.197)
Ru (0.652, 0.152, 0.803)
Ru (0.750, 0.750, 0.000)
Ru (0.848, 0.652, 0.500)

Results
Total moment (μB per cell): 0.00
SG: I4/mcm, No. 140
ΔH_f (0 K) (meV per atom): -219